one:
A relaxed MgTaSb crystal, computed with GGA-PBE.

Calculated values
The volume is 23.714 A^3/atom.

Cell: 6.578 6.578 6.578 Å, 90.00 90.00 90.00°
Space group F-43m (No. 216)
Inequivalent atoms, fractional coordinates:
Mg 0.000 0.000 0.000 (multiplicity 4)
Ta 0.000 0.000 0.500 (multiplicity 4)
Sb 0.250 0.250 0.250 (multiplicity 4)

=====

two:
A relaxed MgTaSb crystal, computed with GGA-PBE.

Calculated values
The volume is 24.505 A^3/atom.

Cell: 6.650 6.650 6.650 Å, 90.00 90.00 90.00°
Space group F-43m (No. 216)
Inequivalent atoms, fractional coordinates:
Mg 0.000 0.000 0.000 (multiplicity 4)
Ta 0.250 0.250 0.250 (multiplicity 4)
Sb 0.000 0.000 0.500 (multiplicity 4)

=====

Unit: meV/atom. Relative energies: one 0; two 24.